{"formula": "Pr14NdY", "functional": "GGA-PBE", "state": "relaxed", "sg": "No. 123", "e_form_ev_per_atom": 0.01, "total_energy_ev_per_atom": -4.873, "lattice_angstrom": [[7.403, 0.000, 0.000], [0.000, 7.403, 0.000], [0.000, 0.000, 10.495]], "species": ["Pr", "Pr", "Pr", "Pr", "Pr", "Pr", "Pr", "Pr", "Pr", "Pr", "Pr", "Pr", "Pr", "Pr", "Nd", "Y"], "fractional_positions": [[0.000, 0.000, 0.000], [0.000, 0.500, 0.000], [0.000, 0.500, 0.500], [0.249, 0.249, 0.251], [0.249, 0.249, 0.749], [0.249, 0.751, 0.251], [0.249, 0.751, 0.749], [0.500, 0.000, 0.000], [0.500, 0.000, 0.500], [0.500, 0.500, 0.000], [0.751, 0.249, 0.251], [0.751, 0.249, 0.749], [0.751, 0.751, 0.251], [0.751, 0.751, 0.749], [0.500, 0.500, 0.500], [0.000, 0.000, 0.500]]}